Density functional theory data (GGA-PBE) for a relaxed Pu6GaGe crystal.

## Properties
For the formation energy from the elements, the calculation gives -0.1696 eV/atom. The magnetization is 1.29 μB/atom. As for the crystal system: tetragonal.

Structure (CIF):
```
data_Pu6GaGe
_symmetry_space_group_name_H-M 'P 1'
_symmetry_Int_Tables_number 1
_cell_length_a 4.3735
_cell_length_b 4.3735
_cell_length_c 9.0858
_cell_angle_alpha 90.00
_cell_angle_beta 90.00
_cell_angle_gamma 90.00
loop_
_symmetry_equiv_pos_as_xyz
'x,y,z'
loop_
_atom_site_label
_atom_site_type_symbol
_atom_site_fract_x
_atom_site_fract_y
_atom_site_fract_z
Pu1 Pu 0.0000 0.0000 0.0000
Pu2 Pu 0.0000 0.0000 0.5000
Pu3 Pu 0.0000 0.5000 0.2473
Pu4 Pu 0.0000 0.5000 0.7527
Pu5 Pu 0.5000 0.0000 0.2473
Pu6 Pu 0.5000 0.0000 0.7527
Ga1 Ga 0.5000 0.5000 0.5000
Ge1 Ge 0.5000 0.5000 0.0000
```

=====

Density functional theory data (GGA-PBE) for a relaxed Na3ScBe crystal.

## Properties
As for the energy above the most stable polymorph in this dataset: 0.560 eV/atom. For the formation energy from the elements, the calculation gives 1.4333 eV/atom. The magnetization is 0.31 μB/atom. As for the crystal system: cubic.

Structure (CIF):
```
data_Na3ScBe
_symmetry_space_group_name_H-M 'P 1'
_symmetry_Int_Tables_number 1
_cell_length_a 6.2396
_cell_length_b 6.2396
_cell_length_c 6.2396
_cell_angle_alpha 90.00
_cell_angle_beta 90.00
_cell_angle_gamma 90.00
loop_
_symmetry_equiv_pos_as_xyz
'x,y,z'
loop_
_atom_site_label
_atom_site_type_symbol
_atom_site_fract_x
_atom_site_fract_y
_atom_site_fract_z
Na1 Na 0.0000 0.0000 0.5000
Na2 Na 0.0000 0.5000 0.0000
Na3 Na 0.5000 0.0000 0.0000
Sc1 Sc 0.0000 0.0000 0.0000
Be1 Be 0.5000 0.5000 0.5000
```

=====

Density functional theory data (GGA-PBE) for a relaxed SmMnTe2 crystal.

## Properties
As for the electronic total energy: -5.26 eV/atom. The magnetization is 1.02 μB/atom. As for the crystal system: trigonal.

Structure (CIF):
```
data_SmMnTe2
_symmetry_space_group_name_H-M 'P 1'
_symmetry_Int_Tables_number 1
_cell_length_a 9.6070
_cell_length_b 9.6070
_cell_length_c 9.6070
_cell_angle_alpha 23.66
_cell_angle_beta 23.66
_cell_angle_gamma 23.66
loop_
_symmetry_equiv_pos_as_xyz
'x,y,z'
loop_
_atom_site_label
_atom_site_type_symbol
_atom_site_fract_x
_atom_site_fract_y
_atom_site_fract_z
Sm1 Sm 0.0000 0.0000 0.0000
Mn1 Mn 0.5000 0.5000 0.5000
Te1 Te 0.1103 0.1103 0.1103
Te2 Te 0.8897 0.8897 0.8897
```

=====

Density functional theory data (GGA-PBE) for a relaxed Tb6Er2Tm crystal.

## Properties
As for the energy above the most stable polymorph in this dataset: 0.095 eV/atom. For the formation energy from the elements, the calculation gives 0.1129 eV/atom. The magnetization is 0.00 μB/atom. As for the crystal system: monoclinic.

Structure (CIF):
```
data_Tb6Er2Tm
_symmetry_space_group_name_H-M 'P 1'
_symmetry_Int_Tables_number 1
_cell_length_a 9.5081
_cell_length_b 9.5081
_cell_length_c 6.5313
_cell_angle_alpha 99.53
_cell_angle_beta 99.53
_cell_angle_gamma 96.22
loop_
_symmetry_equiv_pos_as_xyz
'x,y,z'
loop_
_atom_site_label
_atom_site_type_symbol
_atom_site_fract_x
_atom_site_fract_y
_atom_site_fract_z
Tb1 Tb 0.0389 0.4397 0.7255
Tb2 Tb 0.1482 0.7798 0.9965
Tb3 Tb 0.2202 0.8518 0.5035
Tb4 Tb 0.2782 0.4550 0.1840
Tb5 Tb 0.4397 0.0389 0.2255
Tb6 Tb 0.4550 0.2782 0.6840
Tb7 Tb 0.5450 0.7218 0.3160
Tb8 Tb 0.5603 0.9611 0.7745
Tb9 Tb 0.7218 0.5450 0.8160
Tb10 Tb 0.7798 0.1482 0.4965
Tb11 Tb 0.8518 0.2202 0.0035
Tb12 Tb 0.9611 0.5603 0.2745
Er1 Er 0.1191 0.1652 0.3669
Er2 Er 0.1652 0.1191 0.8669
Er3 Er 0.8348 0.8809 0.1331
Er4 Er 0.8809 0.8348 0.6331
Tm1 Tm 0.3802 0.6198 0.7500
Tm2 Tm 0.6198 0.3802 0.2500
```

=====

Density functional theory data (GGA-PBE) for a relaxed Ca2CeCd6 crystal.

## Properties
For the formation energy from the elements, the calculation gives -0.2993 eV/atom. The magnetization is 0.13 μB/atom. As for the crystal system: monoclinic.

Structure (CIF):
```
data_Ca2CeCd6
_symmetry_space_group_name_H-M 'P 1'
_symmetry_Int_Tables_number 1
_cell_length_a 8.7661
_cell_length_b 8.7661
_cell_length_c 3.4778
_cell_angle_alpha 90.01
_cell_angle_beta 90.01
_cell_angle_gamma 60.03
loop_
_symmetry_equiv_pos_as_xyz
'x,y,z'
loop_
_atom_site_label
_atom_site_type_symbol
_atom_site_fract_x
_atom_site_fract_y
_atom_site_fract_z
Ca1 Ca 0.1667 0.1667 0.0000
Ca2 Ca 0.8333 0.8333 0.0000
Ce1 Ce 0.5000 0.5000 0.0000
Cd1 Cd 0.1653 0.4998 0.4985
Cd2 Cd 0.1649 0.8351 0.5000
Cd3 Cd 0.4998 0.1653 0.4985
Cd4 Cd 0.5002 0.8347 0.5015
Cd5 Cd 0.8351 0.1649 0.5000
Cd6 Cd 0.8347 0.5002 0.5015
```

=====

Density functional theory data (GGA-PBE) for a relaxed MgSnPtRh crystal.

## Properties
For the formation energy from the elements, the calculation gives -0.6456 eV/atom. The magnetization is 0.00 μB/atom. As for the crystal system: tetragonal.

Structure (CIF):
```
data_MgSnPtRh
_symmetry_space_group_name_H-M 'P 1'
_symmetry_Int_Tables_number 1
_cell_length_a 4.7276
_cell_length_b 4.7276
_cell_length_c 4.7276
_cell_angle_alpha 126.49
_cell_angle_beta 126.49
_cell_angle_gamma 79.09
loop_
_symmetry_equiv_pos_as_xyz
'x,y,z'
loop_
_atom_site_label
_atom_site_type_symbol
_atom_site_fract_x
_atom_site_fract_y
_atom_site_fract_z
Mg1 Mg 0.0000 0.0000 0.0000
Sn1 Sn 0.5000 0.5000 0.0000
Pt1 Pt 0.7500 0.2500 0.5000
Rh1 Rh 0.2500 0.7500 0.5000
```

=====

Density functional theory data (GGA-PBE) for a relaxed Ge2Mo crystal.

## Properties
For the formation energy from the elements, the calculation gives -0.1528 eV/atom. The magnetization is 0.00 μB/atom. As for the crystal system: tetragonal.

Structure (CIF):
```
data_Ge2Mo
_symmetry_space_group_name_H-M 'P 1'
_symmetry_Int_Tables_number 1
_cell_length_a 4.7661
_cell_length_b 4.7661
_cell_length_c 4.7661
_cell_angle_alpha 138.98
_cell_angle_beta 138.98
_cell_angle_gamma 59.41
loop_
_symmetry_equiv_pos_as_xyz
'x,y,z'
loop_
_atom_site_label
_atom_site_type_symbol
_atom_site_fract_x
_atom_site_fract_y
_atom_site_fract_z
Ge1 Ge 0.1618 0.1618 0.0000
Ge2 Ge 0.8382 0.8382 0.0000
Mo1 Mo 0.5000 0.5000 0.0000
```

=====

Density functional theory data (GGA-PBE) for a relaxed LiDy3In6 crystal.

## Properties
For the formation energy from the elements, the calculation gives -0.0118 eV/atom. The magnetization is 0.00 μB/atom. As for the crystal system: trigonal.

Structure (CIF):
```
data_LiDy3In6
_symmetry_space_group_name_H-M 'P 1'
_symmetry_Int_Tables_number 1
_cell_length_a 10.8259
_cell_length_b 10.8259
_cell_length_c 10.8259
_cell_angle_alpha 118.98
_cell_angle_beta 118.98
_cell_angle_gamma 118.98
loop_
_symmetry_equiv_pos_as_xyz
'x,y,z'
loop_
_atom_site_label
_atom_site_type_symbol
_atom_site_fract_x
_atom_site_fract_y
_atom_site_fract_z
Li1 Li 0.0000 0.0000 0.0000
Dy1 Dy 0.1342 0.1342 0.8446
Dy2 Dy 0.1342 0.8446 0.1342
Dy3 Dy 0.8446 0.1342 0.1342
In1 In 0.2241 0.7719 0.7719
In2 In 0.4302 0.4302 0.6485
In3 In 0.4302 0.6485 0.4302
In4 In 0.6485 0.4302 0.4302
In5 In 0.7719 0.2241 0.7719
In6 In 0.7719 0.7719 0.2241
```

=====

Density functional theory data (GGA-PBE) for a relaxed Co2Hg crystal.

## Properties
For the formation energy from the elements, the calculation gives 0.5936 eV/atom. The magnetization is 1.08 μB/atom. As for the crystal system: tetragonal.

Structure (CIF):
```
data_Co2Hg
_symmetry_space_group_name_H-M 'P 1'
_symmetry_Int_Tables_number 1
_cell_length_a 7.6887
_cell_length_b 7.6887
_cell_length_c 7.6887
_cell_angle_alpha 152.98
_cell_angle_beta 152.98
_cell_angle_gamma 38.59
loop_
_symmetry_equiv_pos_as_xyz
'x,y,z'
loop_
_atom_site_label
_atom_site_type_symbol
_atom_site_fract_x
_atom_site_fract_y
_atom_site_fract_z
Co1 Co 0.2959 0.5459 0.7500
Co2 Co 0.4541 0.7041 0.7500
Co3 Co 0.5459 0.2959 0.2500
Co4 Co 0.7041 0.4541 0.2500
Hg1 Hg 0.1250 0.8750 0.2500
Hg2 Hg 0.8750 0.1250 0.7500
```

=====

Density functional theory data (GGA-PBE) for a relaxed RbInP2S crystal.

## Properties
As for the energy above the most stable polymorph in this dataset: 1.040 eV/atom. The magnetization is 1.21 μB/atom. As for the crystal system: tetragonal.

Structure (CIF):
```
data_RbInP2S
_symmetry_space_group_name_H-M 'P 1'
_symmetry_Int_Tables_number 1
_cell_length_a 6.3058
_cell_length_b 6.3058
_cell_length_c 5.9308
_cell_angle_alpha 90.00
_cell_angle_beta 90.00
_cell_angle_gamma 90.00
loop_
_symmetry_equiv_pos_as_xyz
'x,y,z'
loop_
_atom_site_label
_atom_site_type_symbol
_atom_site_fract_x
_atom_site_fract_y
_atom_site_fract_z
Rb1 Rb 0.0000 0.0000 0.0000
In1 In 0.5000 0.5000 0.5000
P1 P 0.0000 0.5000 0.0000
P2 P 0.5000 0.0000 0.0000
S1 S 0.0000 0.0000 0.5000
```

=====

Density functional theory data (GGA-PBE) for a relaxed LiTeN2O crystal.

## Properties
As for the electronic total energy: -4.11 eV/atom. The magnetization is 0.60 μB/atom. As for the crystal system: tetragonal.

Structure (CIF):
```
data_LiTeN2O
_symmetry_space_group_name_H-M 'P 1'
_symmetry_Int_Tables_number 1
_cell_length_a 3.8945
_cell_length_b 3.8945
_cell_length_c 3.5317
_cell_angle_alpha 90.00
_cell_angle_beta 90.00
_cell_angle_gamma 90.00
loop_
_symmetry_equiv_pos_as_xyz
'x,y,z'
loop_
_atom_site_label
_atom_site_type_symbol
_atom_site_fract_x
_atom_site_fract_y
_atom_site_fract_z
Li1 Li 0.0000 0.0000 0.0000
Te1 Te 0.5000 0.5000 0.5000
N1 N 0.0000 0.5000 0.0000
N2 N 0.5000 0.0000 0.0000
O1 O 0.0000 0.0000 0.5000
```

=====

Density functional theory data (GGA-PBE) for a relaxed Ba4Na2Ge crystal.

## Properties
For the formation energy from the elements, the calculation gives -0.0859 eV/atom. The magnetization is 0.12 μB/atom. As for the crystal system: tetragonal.

Structure (CIF):
```
data_Ba4Na2Ge
_symmetry_space_group_name_H-M 'P 1'
_symmetry_Int_Tables_number 1
_cell_length_a 10.6923
_cell_length_b 10.6923
_cell_length_c 10.6923
_cell_angle_alpha 144.51
_cell_angle_beta 144.51
_cell_angle_gamma 51.06
loop_
_symmetry_equiv_pos_as_xyz
'x,y,z'
loop_
_atom_site_label
_atom_site_type_symbol
_atom_site_fract_x
_atom_site_fract_y
_atom_site_fract_z
Ba1 Ba 0.0000 0.5000 0.5000
Ba2 Ba 0.1668 0.1668 0.0000
Ba3 Ba 0.5000 0.0000 0.5000
Ba4 Ba 0.8332 0.8332 0.0000
Na1 Na 0.3704 0.3704 0.0000
Na2 Na 0.6296 0.6296 0.0000
Ge1 Ge 0.0000 0.0000 0.0000
```

=====

What is the magnetization in the fifth record? 0.13 μB/atom

=====

What is the formula in the eleventh record? LiTeN2O